Density functional theory data (PBE) for CsGa3Ir after structural relaxation.

Results
Energy relative to the lowest polymorph listed for this composition ... 16 meV per atom
N(E_F) ... 0.2 states/eV/f.u.
V ... 25.52 A^3/atom
SG ... Cm, No. 8
DFT formation energy ... -0.2247 eV per atom
Crystal system ... monoclinic
Total energy ... -3.98 eV per atom

Lattice parameters (Å, degrees): 7.3932 7.3933 7.0785 59.79 59.79 52.90
Closest atoms and distances in Å follow each position.
Positions (direct):
Cs 0.4151 0.5416 0.4416  7 Ga 3.39-3.60, 1 Cs 3.76
Cs 0.6966 0.8233 0.8429  9 Ga 3.45-3.82, 1 Cs 3.76
Ga 0.9862 0.1127 0.3328  2 Ir 2.48-2.53, 1 Ga 2.60
Ga 0.6357 0.3548 0.8841  2 Ir 2.53-2.58, 1 Ga 2.68
Ga 0.2281 0.7624 0.8841  2 Ir 2.53-2.58, 1 Ga 2.68
Ga 0.1079 0.2347 0.8897  2 Ir 2.55-2.66, 1 Ga 2.60
Ga 0.9476 0.5799 0.3618  2 Ir 2.43-2.44
Ga 0.4532 0.0743 0.3618  2 Ir 2.43-2.44
Ir 0.0478 0.1745 0.6054  6 Ga 2.43-2.58
Ir 0.8648 0.9915 0.1566  6 Ga 2.44-2.66